w) A relaxed structure of Pm2LuMg, computed with PBE-GGA.

Magnetic moment (μB/f.u.): 0.00
Density of states at the Fermi level (states/eV/cell): 16.15

abc: 7.842 7.842 7.842
angles: 90.00 90.00 90.00
Space group Fm-3m (No. 225)
Symmetry-distinct sites (fractional):
Pm 0.250 0.250 0.250 [8 per cell]
Lu 0.000 0.000 0.000 [4 per cell]
Mg 0.000 0.000 0.500 [4 per cell]

x) A relaxed structure of Pm2LuMg, computed with PBE-GGA.

Magnetic moment (μB/f.u.): 0.00
Density of states at the Fermi level (states/eV/cell): 11.38

abc: 3.4666 3.4666 37.0841
angles: 90.00 90.00 120.00
Space group R-3m (No. 166, hexagonal axes)
Symmetry-distinct sites (fractional):
Pm 0.0000 0.0000 0.0900 [6 per cell]
Lu 0.0000 0.0000 0.5000 [3 per cell]
Mg 0.0000 0.0000 0.0000 [3 per cell]

Bottom line: w), by a margin of 173 meV per atom.

w) A relaxed structure of Pr2LuMg, computed with PBE-GGA.

Magnetic moment (μB/f.u.): 0.00
Density of states at the Fermi level (states/eV/cell): 16.68

abc: 7.926 7.926 7.926
angles: 90.00 90.00 90.00
Space group Fm-3m (No. 225)
Symmetry-distinct sites (fractional):
Pr 0.250 0.250 0.250 [8 per cell]
Lu 0.000 0.000 0.000 [4 per cell]
Mg 0.000 0.000 0.500 [4 per cell]

x) A relaxed structure of Pr2LuMg, computed with PBE-GGA.

Magnetic moment (μB/f.u.): 0.00
Density of states at the Fermi level (states/eV/cell): 12.63

abc: 3.5021 3.5021 37.4797
angles: 90.00 90.00 120.00
Space group R-3m (No. 166, hexagonal axes)
Symmetry-distinct sites (fractional):
Pr 0.0000 0.0000 0.0899 [6 per cell]
Lu 0.0000 0.0000 0.5000 [3 per cell]
Mg 0.0000 0.0000 0.0000 [3 per cell]

y) A relaxed structure of Pr2LuMg, computed with PBE-GGA.

Magnetic moment (μB/f.u.): 0.00
Density of states at the Fermi level (states/eV/cell): 5.78

abc: 3.740 3.740 8.995
angles: 90.00 90.00 90.00
Space group P4/mmm (No. 123)
Symmetry-distinct sites (fractional):
Pr 0.000 0.000 0.236 [2 per cell]
Lu 0.500 0.500 0.500 [1 per cell]
Mg 0.500 0.500 0.000 [1 per cell]

Bottom line: y), by a margin of 23 meV per atom.

w) A relaxed structure of LuPuMg2, computed with PBE-GGA.

Magnetic moment (μB/f.u.): 6.33
Density of states at the Fermi level (states/eV/cell): 12.00

abc: 4.630 4.630 4.886
angles: 90.00 90.00 90.00
Space group P4/mmm (No. 123)
Symmetry-distinct sites (fractional):
Lu 0.000 0.000 0.000 [1 per cell]
Pu 0.500 0.500 0.000 [1 per cell]
Mg 0.000 0.500 0.500 [2 per cell]

x) A relaxed structure of LuPuMg2, computed with PBE-GGA.

Magnetic moment (μB/f.u.): 6.48
Density of states at the Fermi level (states/eV/cell): 26.63

abc: 7.498 7.498 7.498
angles: 90.00 90.00 90.00
Space group Fm-3m (No. 225)
Symmetry-distinct sites (fractional):
Lu 0.000 0.000 0.000 [4 per cell]
Pu 0.000 0.000 0.500 [4 per cell]
Mg 0.250 0.250 0.250 [8 per cell]

y) A relaxed structure of LuPuMg2, computed with PBE-GGA.

Magnetic moment (μB/f.u.): 5.88
Density of states at the Fermi level (states/eV/cell): 8.53

abc: 3.209 3.209 9.966
angles: 90.00 90.00 90.00
Space group P4/mmm (No. 123)
Symmetry-distinct sites (fractional):
Lu 0.000 0.000 0.000 [1 per cell]
Pu 0.000 0.000 0.500 [1 per cell]
Mg 0.500 0.500 0.246 [2 per cell]

Bottom line: y), by a margin of 23 meV per atom.